# RuPt2Rh | Alexandria | PBE | relaxed
# M_tot	0.0	Bohr magnetons per cell
# VASP energy	-7.187	eV/atom
# offset from the most stable computed form	27.5	meV/atom
data_RuPt2Rh
_chemical_formula_sum 'Ru1 Pt2 Rh1'
_symmetry_space_group_name_H-M 'P m m 2'
_symmetry_Int_Tables_number 25
_cell_length_a 2.7506
_cell_length_b 3.8823
_cell_length_c 5.5534
_cell_angle_alpha 90.00
_cell_angle_beta 90.00
_cell_angle_gamma 90.00
loop_
_symmetry_equiv_pos_as_xyz
'x,y,z'
'-x,-y,z'
'-x,y,z'
'x,-y,z'
loop_
_atom_site_label
_atom_site_type_symbol
_atom_site_fract_x
_atom_site_fract_y
_atom_site_fract_z
Ru1 Ru 0.0000 0.0000 0.0000
Pt1 Pt 0.0000 0.0000 0.5106
Pt2 Pt 0.5000 0.5000 0.2486
Rh1 Rh 0.5000 0.5000 0.7665